TlPCS2: relaxed, PBE-GGA.

abc: 5.1203 5.1203 5.2191
angles: 90.00 90.00 90.00
Each line ends with the local moment (μB).
Element x y z (fractional)
S 0.0000 0.5000 0.0000  0.09
S 0.5000 0.0000 0.0000  0.09
Tl 0.0000 0.0000 0.0000  0.00
P 0.0000 0.0000 0.5000  0.41
C 0.5000 0.5000 0.5000  0.36

## Properties
- Magnetic moment: 1.879 μB/f.u.
- E_form (uncorrected): 2.51 eV per atom
- Space group: P4/mmm, No. 123
- N(E_F): 6.62 states/eV/f.u.
- Excess energy over the best structure of this formula in the dataset: 1405.8 meV/atom
- Calculated total energy: -2.544 eV/atom

Be2PbBr6: relaxed, PBE-GGA.

abc: 6.6327 9.2664 9.2664
angles: 87.50 80.53 80.53
Element x y z (fractional)
Br 0.1777 0.7916 0.9490
Br 0.5654 0.2895 0.4159
Br 0.8876 0.8511 0.4226
Br 0.8223 0.2084 0.0510
Br 0.9346 0.5841 0.7105
Br 0.3223 0.0510 0.2084
Br 0.6124 0.5774 0.1489
Br 0.1124 0.1489 0.5774
Br 0.4346 0.7105 0.5841
Br 0.3876 0.4226 0.8511
Br 0.0654 0.4159 0.2895
Br 0.6777 0.9490 0.7916
Be 0.7266 0.7726 0.6294
Be 0.2266 0.6294 0.7726
Be 0.7734 0.3706 0.2274
Be 0.2734 0.2274 0.3706
Pb 0.7500 0.8616 0.1384
Pb 0.2500 0.1384 0.8616

## Properties
- Magnetic moment: 0.000 μB/f.u.
- E_form (uncorrected): -0.93 eV per atom
- Space group: C2/c, No. 15
- N(E_F): 0.00 states/eV/f.u.
- Calculated total energy: -3.288 eV/atom

Sr3NbTc: relaxed, PBE-GGA.

abc: 5.7887 5.7887 5.7887
angles: 90.00 90.00 90.00
Each line ends with the local moment (μB).
Element x y z (fractional)
Tc 0.5000 0.5000 0.5000  3.39
Nb 0.0000 0.0000 0.0000  0.74
Sr 0.5000 0.0000 0.0000  0.00
Sr 0.0000 0.0000 0.5000  0.02
Sr 0.0000 0.5000 0.0000  0.01

## Properties
- Magnetic moment: 4.558 μB/f.u.
- Space group: Pm-3m, No. 221
- N(E_F): 4.86 states/eV/f.u.
- Excess energy over the best structure of this formula in the dataset: 185.3 meV/atom
- Calculated total energy: -3.434 eV/atom

> Number 1 is which compound?

TlPCS2